(1)
Zr2Os3: optimized geometry, PBE.

Cell and atoms, written as POSCAR:
```
Zr2Os3
1.0
-7.0537 -6.7016 6.4822
-8.2694 -7.2880 3.8971
-5.9675 -8.8288 4.8090
Zr Os
2 3
Cartesian
-12.7677 -13.6838 9.1082
-8.5230 -9.1345 6.0801
-17.1169 -18.3450 12.2108
0.0000 0.0000 0.0000
-4.1738 -4.4733 2.9775
```

## Properties
DFT total energy in eV for the cell shown: -49.61
Distance to the lowest polymorph of the same formula in meV/atom: 412.0
Magnetic moment in μB per formula unit: 0.00
N(E_F) in states/eV/f.u.: 7.3
E_form in meV per atom: 235

***

(2)
ZrOs4: optimized geometry, PBE.

Cell and atoms, written as POSCAR:
```
ZrOs4
1.0
-2.9066 2.9066 2.9066
2.9066 -2.9066 2.9066
2.9066 2.9066 -2.9066
Os Zr
4 1
Cartesian
1.4533 1.4533 1.4533
1.4533 1.4533 -1.4533
1.4533 -1.4533 1.4533
-1.4533 1.4533 1.4533
0.0000 0.0000 0.0000
```

## Properties
DFT total energy in eV for the cell shown: -43.56
Distance to the lowest polymorph of the same formula in meV/atom: 1945.2
Magnetic moment in μB per formula unit: 0.00
N(E_F) in states/eV/f.u.: 9.8
E_form in meV per atom: 1981

***

Among the records above, which one has the lowest DFT total energy? Zr2Os3